# 1
The following is a PBE-GGA calculation of a relaxed AgRuBr crystal, from Alexandria via LeMat-Bulk.

Computed properties:
calculated total energy: -3.888 eV/atom
D(E_F): 1.191 states/eV/atom
space-group type: Fmm2, No. 42
E_form (uncorrected): 0.712 eV per atom

Cell lengths 7.621, 7.277, 3.103 Å; angles 84.28, 71.82, 23.90 degrees
Positions (direct):
1 Ag 0.000 0.000 0.000
2 Ru 0.663 0.663 0.337
3 Br 0.301 0.301 0.699

# 2
The following is a PBE-GGA calculation of a relaxed AgRuBr2 crystal, from Alexandria via LeMat-Bulk.

Computed properties:
calculated total energy: -3.186 eV/atom
D(E_F): 1.221 states/eV/atom
space-group type: Fm-3m, No. 225
E_form (uncorrected): 0.682 eV per atom

Cell lengths 4.790, 4.790, 4.790 Å; angles 60.00, 60.00, 60.00 degrees
Positions (direct):
1 Ag 0.000 0.000 0.000
2 Ru 0.500 0.500 0.500
3 Br 0.250 0.250 0.250
4 Br 0.750 0.750 0.750

# 3
The following is a PBE-GGA calculation of a relaxed AgRuBr2 crystal, from Alexandria via LeMat-Bulk.

Computed properties:
calculated total energy: -2.930 eV/atom
D(E_F): 1.013 states/eV/atom
space-group type: F-43m, No. 216
E_form (uncorrected): 0.938 eV per atom

Cell lengths 4.972, 4.972, 4.972 Å; angles 60.00, 60.00, 60.00 degrees
Positions (direct):
1 Ag 0.000 0.000 0.000
2 Ru 0.750 0.750 0.750
3 Br 0.250 0.250 0.250
4 Br 0.500 0.500 0.500

# 4
The following is a PBE-GGA calculation of a relaxed Ag6RuBr12 crystal, from Alexandria via LeMat-Bulk.

Computed properties:
calculated total energy: -2.719 eV/atom
D(E_F): 0.597 states/eV/atom
space-group type: R-3, No. 148
E_form (uncorrected): -0.273 eV per atom

Cell lengths 8.551, 8.551, 8.551 Å; angles 83.38, 83.38, 83.38 degrees
Positions (direct):
1 Ag 0.104 0.800 0.613
2 Ag 0.200 0.387 0.896
3 Ag 0.387 0.896 0.200
4 Ag 0.613 0.104 0.800
5 Ag 0.800 0.613 0.104
6 Ag 0.896 0.200 0.387
7 Ru 0.500 0.500 0.500
8 Br 0.075 0.684 0.912
9 Br 0.088 0.925 0.316
10 Br 0.208 0.481 0.548
11 Br 0.316 0.088 0.925
12 Br 0.452 0.792 0.519
13 Br 0.481 0.548 0.208
14 Br 0.519 0.452 0.792
15 Br 0.548 0.208 0.481
16 Br 0.684 0.912 0.075
17 Br 0.792 0.519 0.452
18 Br 0.912 0.075 0.684
19 Br 0.925 0.316 0.088

# 5
The following is a PBE-GGA calculation of a relaxed Ag3RuBr crystal, from Alexandria via LeMat-Bulk.

Computed properties:
calculated total energy: -2.447 eV/atom
D(E_F): 1.797 states/eV/atom
space-group type: Pm-3m, No. 221
E_form (uncorrected): 1.454 eV per atom

Cell lengths 5.066, 5.066, 5.066 Å; angles 90.00, 90.00, 90.00 degrees
Positions (direct):
1 Ag 0.000 0.000 0.500
2 Ag 0.000 0.500 0.000
3 Ag 0.500 0.000 0.000
4 Ru 0.500 0.500 0.500
5 Br 0.000 0.000 0.000

# 6
The following is a PBE-GGA calculation of a relaxed AgRuBr2 crystal, from Alexandria via LeMat-Bulk.

Computed properties:
calculated total energy: -3.634 eV/atom
D(E_F): 0.708 states/eV/atom
space-group type: P2/m, No. 10
E_form (uncorrected): 0.234 eV per atom

Cell lengths 5.368, 3.705, 6.642 Å; angles 90.00, 111.30, 90.00 degrees
Positions (direct):
1 Ag 0.000 0.000 0.000
2 Ru 0.500 0.000 0.000
3 Br 0.366 0.500 0.736
4 Br 0.634 0.500 0.264

# 7
The following is a PBE-GGA calculation of a relaxed Ag3RuBr7 crystal, from Alexandria via LeMat-Bulk.

Computed properties:
calculated total energy: -2.922 eV/atom
D(E_F): 0.491 states/eV/atom
space-group type: Cm, No. 8
E_form (uncorrected): -0.237 eV per atom

Cell lengths 6.952, 6.952, 6.923 Å; angles 99.76, 99.76, 97.43 degrees
Positions (direct):
1 Ag 0.000 0.000 0.000
2 Ag 0.308 0.805 0.666
3 Ag 0.805 0.308 0.666
4 Ru 0.480 0.480 0.107
5 Br 0.182 0.528 0.865
6 Br 0.263 0.263 0.266
7 Br 0.448 0.788 0.330
8 Br 0.528 0.182 0.865
9 Br 0.688 0.688 0.920
10 Br 0.788 0.448 0.330
11 Br 0.968 0.968 0.605

# 8
The following is a PBE-GGA calculation of a relaxed AgRuBr crystal, from Alexandria via LeMat-Bulk.

Computed properties:
calculated total energy: -3.925 eV/atom
D(E_F): 1.049 states/eV/atom
space-group type: I4mm, No. 107
E_form (uncorrected): 0.675 eV per atom

Cell lengths 6.533, 6.533, 6.533 Å; angles 152.82, 152.82, 38.82 degrees
Positions (direct):
1 Ag 0.000 0.000 0.000
2 Ru 0.344 0.344 0.000
3 Br 0.728 0.728 0.000

# 9
The following is a PBE-GGA calculation of a relaxed AgRuBr3 crystal, from Alexandria via LeMat-Bulk.

Computed properties:
calculated total energy: -3.186 eV/atom
D(E_F): 1.823 states/eV/atom
space-group type: Pm-3m, No. 221
E_form (uncorrected): 0.244 eV per atom

Cell lengths 5.116, 5.116, 5.116 Å; angles 90.00, 90.00, 90.00 degrees
Positions (direct):
1 Ag 0.000 0.000 0.000
2 Ru 0.500 0.500 0.500
3 Br 0.000 0.500 0.500
4 Br 0.500 0.000 0.500
5 Br 0.500 0.500 0.000

# 10
The following is a PBE-GGA calculation of a relaxed AgRuBr crystal, from Alexandria via LeMat-Bulk.

Computed properties:
calculated total energy: -3.775 eV/atom
D(E_F): 1.255 states/eV/atom
space-group type: P-6m2, No. 187
E_form (uncorrected): 0.825 eV per atom

Cell lengths 4.436, 4.436, 3.255 Å; angles 90.00, 90.00, 120.00 degrees
Positions (direct):
1 Ag 0.000 0.000 0.000
2 Ru 0.667 0.333 0.500
3 Br 0.333 0.667 0.500

# 11
The following is a PBE-GGA calculation of a relaxed Ag3RuBr8 crystal, from Alexandria via LeMat-Bulk.

Computed properties:
calculated total energy: -2.861 eV/atom
D(E_F): 0.880 states/eV/atom
space-group type: C222, No. 21
E_form (uncorrected): -0.260 eV per atom

Cell lengths 6.942, 6.942, 8.193 Å; angles 90.00, 90.00, 113.37 degrees
Positions (direct):
1 Ag 0.000 0.000 0.000
2 Ag 0.000 0.500 0.757
3 Ag 0.500 0.000 0.243
4 Ru 0.000 0.000 0.500
5 Br 0.217 0.783 0.500
6 Br 0.226 0.774 0.000
7 Br 0.229 0.238 0.714
8 Br 0.238 0.229 0.286
9 Br 0.762 0.771 0.286
10 Br 0.771 0.762 0.714
11 Br 0.774 0.226 0.000
12 Br 0.783 0.217 0.500

# 12
The following is a PBE-GGA calculation of a relaxed AgRuBr crystal, from Alexandria via LeMat-Bulk.

Computed properties:
calculated total energy: -4.005 eV/atom
D(E_F): 1.096 states/eV/atom
space-group type: P3m1, No. 156
E_form (uncorrected): 0.595 eV per atom

Cell lengths 3.149, 3.149, 6.687 Å; angles 90.00, 90.00, 120.00 degrees
Positions (direct):
1 Ag 0.000 0.000 0.000
2 Ru 0.333 0.667 0.679
3 Br 0.667 0.333 0.418

# 13
The following is a PBE-GGA calculation of a relaxed AgRuBr2 crystal, from Alexandria via LeMat-Bulk.

Computed properties:
calculated total energy: -3.420 eV/atom
D(E_F): 0.889 states/eV/atom
space-group type: Imm2, No. 44
E_form (uncorrected): 0.448 eV per atom

Cell lengths 6.793, 6.793, 6.793 Å; angles 153.58, 141.60, 47.22 degrees
Positions (direct):
1 Ag 0.000 0.000 0.000
2 Ru 0.805 0.305 0.500
3 Br 0.336 0.836 0.500
4 Br 0.637 0.637 0.000

# 14
The following is a PBE-GGA calculation of a relaxed AgRuBr2 crystal, from Alexandria via LeMat-Bulk.

Computed properties:
calculated total energy: -3.299 eV/atom
D(E_F): 0.716 states/eV/atom
space-group type: P4/mmm, No. 123
E_form (uncorrected): 0.569 eV per atom

Cell lengths 3.448, 3.448, 7.111 Å; angles 90.00, 90.00, 90.00 degrees
Positions (direct):
1 Ag 0.000 0.000 0.000
2 Ru 0.000 0.000 0.500
3 Br 0.500 0.500 0.265
4 Br 0.500 0.500 0.735

# 15
The following is a PBE-GGA calculation of a relaxed Ag2RuBr8 crystal, from Alexandria via LeMat-Bulk.

Computed properties:
calculated total energy: -2.731 eV/atom
D(E_F): 0.616 states/eV/atom
space-group type: C2/m, No. 12
E_form (uncorrected): -0.153 eV per atom

Cell lengths 8.433, 8.433, 8.764 Å; angles 97.02, 97.02, 39.67 degrees
Positions (direct):
1 Ag 0.168 0.168 0.418
2 Ag 0.832 0.832 0.582
3 Ru 0.000 0.000 0.000
4 Br 0.012 0.012 0.288
5 Br 0.130 0.615 0.992
6 Br 0.320 0.320 0.559
7 Br 0.385 0.870 0.008
8 Br 0.615 0.130 0.992
9 Br 0.680 0.680 0.441
10 Br 0.870 0.385 0.008
11 Br 0.988 0.988 0.712

# 16
The following is a PBE-GGA calculation of a relaxed AgRuSeBr2 crystal, from Alexandria via LeMat-Bulk.

Computed properties:
calculated total energy: -2.810 eV/atom
D(E_F): 0.826 states/eV/atom
space-group type: P4/mmm, No. 123
E_form (uncorrected): 0.982 eV per atom

Cell lengths 5.210, 5.210, 5.188 Å; angles 90.00, 90.00, 90.00 degrees
Positions (direct):
1 Ag 0.000 0.000 0.000
2 Ru 0.500 0.500 0.500
3 Se 0.000 0.000 0.500
4 Br 0.000 0.500 0.000
5 Br 0.500 0.000 0.000

# 17
The following is a PBE-GGA calculation of a relaxed AgRuSeBr2 crystal, from Alexandria via LeMat-Bulk.

Computed properties:
calculated total energy: -3.542 eV/atom
D(E_F): 0.345 states/eV/atom
space-group type: P4/mmm, No. 123
E_form (uncorrected): 0.249 eV per atom

Cell lengths 5.318, 5.318, 4.603 Å; angles 90.00, 90.00, 90.00 degrees
Positions (direct):
1 Ag 0.000 0.000 0.000
2 Ru 0.500 0.500 0.500
3 Se 0.500 0.500 0.000
4 Br 0.000 0.500 0.500
5 Br 0.500 0.000 0.500

# 18
The following is a PBE-GGA calculation of a relaxed Sm6AgRu2Br3 crystal, from Alexandria via LeMat-Bulk.

Computed properties:
calculated total energy: -5.360 eV/atom
D(E_F): 0.306 states/eV/atom
space-group type: C2/m, No. 12
E_form (uncorrected): -0.799 eV per atom

Cell lengths 7.135, 7.135, 8.166 Å; angles 98.32, 98.32, 120.03 degrees
Positions (direct):
1 Sm 0.072 0.434 0.800
2 Sm 0.204 0.204 0.199
3 Sm 0.434 0.072 0.800
4 Sm 0.566 0.928 0.200
5 Sm 0.796 0.796 0.801
6 Sm 0.928 0.566 0.200
7 Ag 0.500 0.500 0.000
8 Ru 0.167 0.833 0.000
9 Ru 0.833 0.167 0.000
10 Br 0.000 0.000 0.500
11 Br 0.332 0.668 0.500
12 Br 0.668 0.332 0.500

# 19
The following is a PBE-GGA calculation of a relaxed Tl2AgRuBr6 crystal, from Alexandria via LeMat-Bulk.

Computed properties:
calculated total energy: -3.162 eV/atom
D(E_F): 0.780 states/eV/atom
space-group type: R-3m, No. 166
E_form (uncorrected): -0.472 eV per atom

Cell lengths 14.052, 14.052, 14.052 Å; angles 30.55, 30.55, 30.55 degrees
Positions (direct):
1 Tl 0.138 0.138 0.138
2 Tl 0.308 0.308 0.308
3 Tl 0.692 0.692 0.692
4 Tl 0.862 0.862 0.862
5 Ag 0.415 0.415 0.415
6 Ag 0.585 0.585 0.585
7 Ru 0.000 0.000 0.000
8 Ru 0.500 0.500 0.500
9 Br 0.141 0.624 0.624
10 Br 0.198 0.198 0.714
11 Br 0.198 0.714 0.198
12 Br 0.286 0.802 0.802
13 Br 0.376 0.376 0.859
14 Br 0.376 0.859 0.376
15 Br 0.624 0.141 0.624
16 Br 0.624 0.624 0.141
17 Br 0.714 0.198 0.198
18 Br 0.802 0.286 0.802
19 Br 0.802 0.802 0.286
20 Br 0.859 0.376 0.376

# 20
The following is a PBE-GGA calculation of a relaxed TlAg2RuBr6 crystal, from Alexandria via LeMat-Bulk.

Computed properties:
calculated total energy: -3.095 eV/atom
D(E_F): 0.691 states/eV/atom
space-group type: P1, No. 1
E_form (uncorrected): -0.357 eV per atom

Cell lengths 7.191, 7.213, 7.733 Å; angles 89.99, 62.38, 60.17 degrees
Positions (direct):
1 Tl 0.000 0.000 0.000
2 Ag 0.566 0.720 0.152
3 Ag 0.632 0.183 0.552
4 Ru 0.963 0.519 0.557
5 Br 0.107 0.550 0.789
6 Br 0.114 0.737 0.338
7 Br 0.398 0.152 0.338
8 Br 0.556 0.891 0.789
9 Br 0.764 0.342 0.787
10 Br 0.813 0.452 0.337